Compound: RbPdCl3
Source: the Alexandria database
Functional: PBE
Structure: relaxed

Output
total magnetization: 0.000 μB per cell
crystal system: tetragonal
raw formation energy: -0.506 eV per atom

Geometry as CIF:
```
data_RbPdCl3
_space_group_name_H-M_alt 'I -4 m 2'
_space_group_IT_number 119
_space_group_name_Hall 'I -4 -2'
_cell_length_a 4.885
_cell_length_b 4.885
_cell_length_c 29.777
_cell_angle_alpha 90.00
_cell_angle_beta 90.00
_cell_angle_gamma 90.00
loop_
_atom_site_label
_atom_site_type_symbol
_atom_site_fract_x
_atom_site_fract_y
_atom_site_fract_z
Rb1 Rb 0.000 0.000 0.000
Rb2 Rb 0.000 0.500 0.250
Pd1 Pd 0.000 0.500 0.705
Cl1 Cl 0.000 0.000 0.310
Cl2 Cl 0.000 0.252 0.097
```

---

Compound: RbPd2Cl
Source: the Alexandria database
Functional: PBE
Structure: relaxed

Output
ΔE to the lowest computed polymorph: 0.0 meV/atom
total magnetization: 0.000 μB per cell
crystal system: tetragonal
raw formation energy: -0.204 eV per atom

Geometry as CIF:
```
data_RbPd2Cl
_space_group_name_H-M_alt 'I 41/a m d'
_space_group_IT_number 141
_cell_length_a 5.529
_cell_length_b 5.529
_cell_length_c 15.413
_cell_angle_alpha 90.00
_cell_angle_beta 90.00
_cell_angle_gamma 90.00
loop_
_space_group_symop_operation_xyz
'x,y,z'
'-x,-y,-z'
'-y+1/4,x+3/4,z+1/4'
'y+1/4,-x+3/4,-z+1/4'
'-x+1/2,-y,z+1/2'
'x+1/2,y,-z+1/2'
'y+1/4,-x+1/4,z+3/4'
'-y+1/4,x+1/4,-z+3/4'
'x,-y,-z'
'-x,y,z'
'-y+1/4,-x+1/4,-z+3/4'
'y+1/4,x+1/4,z+3/4'
'-x+1/2,y,-z+1/2'
'x+1/2,-y,z+1/2'
'y+1/4,x+3/4,-z+1/4'
'-y+1/4,-x+3/4,z+1/4'
'x+1/2,y+1/2,z+1/2'
'-x+1/2,-y+1/2,-z+1/2'
'-y+3/4,x+1/4,z+3/4'
'y+3/4,-x+1/4,-z+3/4'
'-x,-y+1/2,z'
'x,y+1/2,-z'
'y+3/4,-x+3/4,z+1/4'
'-y+3/4,x+3/4,-z+1/4'
'x+1/2,-y+1/2,-z+1/2'
'-x+1/2,y+1/2,z+1/2'
'-y+3/4,-x+3/4,-z+1/4'
'y+3/4,x+3/4,z+1/4'
'-x,y+1/2,-z'
'x,-y+1/2,z'
'y+3/4,x+1/4,-z+3/4'
'-y+3/4,-x+1/4,z+3/4'
loop_
_atom_site_label
_atom_site_type_symbol
_atom_site_fract_x
_atom_site_fract_y
_atom_site_fract_z
Rb1 Rb 0.000 0.250 0.375
Pd1 Pd 0.000 0.000 0.000
Cl1 Cl 0.000 0.250 0.875
```

---

Compound: RbPdCl
Source: the Alexandria database
Functional: PBE
Structure: relaxed

Output
ΔE to the lowest computed polymorph: 150.4 meV/atom
total magnetization: 0.000 μB per cell
crystal system: hexagonal
raw formation energy: -0.649 eV per atom

Geometry as CIF:
```
data_RbPdCl
_space_group_name_H-M_alt 'P 63/m m c'
_space_group_IT_number 194
_space_group_name_Hall '-P 6c 2c'
_cell_length_a 5.5652
_cell_length_b 5.5652
_cell_length_c 9.2696
_cell_angle_alpha 90.00
_cell_angle_beta 90.00
_cell_angle_gamma 120.00
loop_
_atom_site_label
_atom_site_type_symbol
_atom_site_fract_x
_atom_site_fract_y
_atom_site_fract_z
Rb1 Rb 0.3333 0.6667 0.2500
Pd1 Pd 0.0000 0.0000 0.0000
Cl1 Cl 0.0000 0.0000 0.2500
```